Compound: Sr2CeYCu2RuO10
Source: Alexandria via LeMat-Bulk
Functional: meta-GGA SCAN
Structure: single point on PBEsol structure

Lattice parameters (Å, degrees): 3.789 3.789 14.548 97.48 97.48 90.00
Fractional positions:
O (0.069, 0.069, 0.139)
O (0.750, 0.250, 0.500)
O (0.930, 0.930, 0.860)
O (0.652, 0.152, 0.304)
O (0.152, 0.652, 0.304)
O (0.499, 0.999, 0.999)
O (0.348, 0.848, 0.696)
O (0.999, 0.499, 0.999)
O (0.250, 0.750, 0.500)
O (0.848, 0.348, 0.696)
Cu (0.145, 0.145, 0.290)
Cu (0.856, 0.856, 0.711)
Ce (0.293, 0.293, 0.586)
Sr (0.422, 0.422, 0.845)
Sr (0.581, 0.581, 0.162)
Ru (0.000, 0.000, 0.000)
Y (0.705, 0.705, 0.410)

## Properties
- ΔE_f (raw) (eV/atom) = -2.416

---

Compound: CeCuSO
Source: Alexandria via LeMat-Bulk
Functional: meta-GGA SCAN
Structure: single point on PBEsol structure

Lattice parameters (Å, degrees): 3.829 3.829 8.298 90.00 90.00 90.00
Fractional positions:
S (0.500, 0.000, 0.332)
S (0.000, 0.500, 0.668)
Ce (0.500, 0.000, 0.846)
Ce (0.000, 0.500, 0.154)
O (0.000, 0.000, 0.000)
O (0.500, 0.500, 0.000)
Cu (0.000, 0.000, 0.500)
Cu (0.500, 0.500, 0.500)

## Properties
- ΔE_f (raw) (eV/atom) = -2.173

---

Compound: CeCuSi2Pd
Source: Alexandria via LeMat-Bulk
Functional: meta-GGA SCAN
Structure: single point on PBEsol structure

Lattice parameters (Å, degrees): 4.057 4.057 5.748 110.67 110.67 90.00
Fractional positions:
Ce (0.000, 0.000, 0.000)
Cu (0.750, 0.250, 0.500)
Si (0.382, 0.382, 0.765)
Si (0.618, 0.618, 0.235)
Pd (0.250, 0.750, 0.500)

## Properties
- ΔE_f (raw) (eV/atom) = -0.782

---

Compound: CeCuSi2Ru
Source: Alexandria via LeMat-Bulk
Functional: meta-GGA SCAN
Structure: single point on PBEsol structure

Lattice parameters (Å, degrees): 3.979 3.979 5.789 110.10 110.10 90.00
Fractional positions:
Si (0.381, 0.381, 0.761)
Si (0.619, 0.619, 0.239)
Ce (0.000, 0.000, 0.000)
Ru (0.250, 0.750, 0.500)
Cu (0.750, 0.250, 0.500)

## Properties
- ΔE_f (raw) (eV/atom) = -0.657

---

Compound: CeCuS2
Source: Alexandria via LeMat-Bulk
Functional: meta-GGA SCAN
Structure: single point on PBEsol structure

Lattice parameters (Å, degrees): 6.309 6.761 7.087 90.00 90.00 97.92
Fractional positions:
S (0.409, 0.498, 0.726)
S (0.591, 0.502, 0.274)
S (0.409, 0.998, 0.774)
S (0.905, 0.218, 0.612)
S (0.591, 0.002, 0.226)
S (0.905, 0.718, 0.888)
S (0.095, 0.282, 0.112)
S (0.095, 0.782, 0.388)
Cu (0.066, 0.545, 0.664)
Cu (0.066, 0.045, 0.836)
Cu (0.934, 0.955, 0.164)
Cu (0.934, 0.455, 0.336)
Ce (0.688, 0.801, 0.552)
Ce (0.312, 0.699, 0.052)
Ce (0.688, 0.301, 0.948)
Ce (0.312, 0.199, 0.448)

## Properties
- ΔE_f (raw) (eV/atom) = -1.566

---

Compound: Ce3CuSiS7
Source: Alexandria via LeMat-Bulk
Functional: meta-GGA SCAN
Structure: single point on PBEsol structure

Lattice parameters (Å, degrees): 5.667 10.016 10.016 120.00 90.00 90.00
Fractional positions:
S (0.977, 0.892, 0.415)
S (0.240, 0.748, 0.836)
S (0.240, 0.089, 0.252)
S (0.964, 0.333, 0.667)
S (0.240, 0.164, 0.911)
S (0.740, 0.252, 0.164)
S (0.977, 0.523, 0.108)
S (0.464, 0.667, 0.333)
S (0.477, 0.415, 0.523)
S (0.977, 0.585, 0.477)
S (0.477, 0.477, 0.892)
S (0.740, 0.836, 0.089)
S (0.477, 0.108, 0.585)
S (0.740, 0.911, 0.748)
Ce (0.750, 0.643, 0.769)
Ce (0.250, 0.357, 0.231)
Ce (0.250, 0.769, 0.126)
Ce (0.250, 0.874, 0.643)
Ce (0.750, 0.231, 0.874)
Ce (0.750, 0.126, 0.357)
Si (0.835, 0.667, 0.333)
Si (0.335, 0.333, 0.667)
Cu (0.228, 0.000, 0.000)
Cu (0.728, 0.000, 0.000)

## Properties
- ΔE_f (raw) (eV/atom) = -1.760

---

Compound: Ce2Cu3Sb4
Source: Alexandria via LeMat-Bulk
Functional: meta-GGA SCAN
Structure: single point on PBEsol structure

Lattice parameters (Å, degrees): 4.427 4.427 9.872 90.00 90.00 90.00
Fractional positions:
Sb (0.000, 0.000, 0.156)
Sb (0.000, 0.500, 0.483)
Sb (0.500, 0.500, 0.869)
Sb (0.500, 0.000, 0.483)
Cu (0.000, 0.500, 0.003)
Cu (0.500, 0.500, 0.621)
Cu (0.500, 0.000, 0.003)
Ce (0.500, 0.500, 0.237)
Ce (0.000, 0.000, 0.746)

## Properties
- ΔE_f (raw) (eV/atom) = -0.579

---

Compound: Ce3Cu3Sb4
Source: Alexandria via LeMat-Bulk
Functional: meta-GGA SCAN
Structure: single point on PBEsol structure

Lattice parameters (Å, degrees): 8.280 8.280 8.280 109.47 109.47 109.47
Fractional positions:
Cu (0.375, 0.625, 0.750)
Cu (0.625, 0.250, 0.875)
Cu (0.875, 0.750, 0.625)
Cu (0.250, 0.375, 0.125)
Cu (0.125, 0.875, 0.250)
Cu (0.750, 0.125, 0.375)
Sb (0.335, 0.335, 0.835)
Sb (0.500, 0.165, 0.500)
Sb (0.165, 0.000, 0.000)
Sb (0.665, 0.000, 0.000)
Sb (0.835, 0.835, 0.335)
Sb (0.500, 0.665, 0.500)
Sb (0.000, 0.500, 0.665)
Sb (0.000, 0.500, 0.165)
Ce (0.625, 0.375, 0.250)
Ce (0.750, 0.625, 0.875)
Ce (0.125, 0.250, 0.375)
Ce (0.875, 0.125, 0.750)
Ce (0.375, 0.750, 0.125)
Ce (0.250, 0.875, 0.625)

## Properties
- ΔE_f (raw) (eV/atom) = -0.809

---

| no. | total energy (eV/f.u.) |
| --- | --- |
| 1 | -285.56 |
| 2 | -84.32 |
| 3 | -116.48 |
| 4 | -117.91 |
| 5 | -85.28 |
| 6 | -247.42 |
| 7 | -288.98 |
| 8 | -336.42 |